Density functional theory data (PBE) for Sc3CoBi after structural relaxation.

The structure in CIF format:
```
data_Sc3CoBi
_chemical_formula_sum 'Sc6 Co2 Bi2'
_symmetry_space_group_name_H-M 'P 1 21/m 1'
_symmetry_Int_Tables_number 11
_cell_length_a 7.518
_cell_length_b 4.106
_cell_length_c 7.851
_cell_angle_alpha 90.00
_cell_angle_beta 115.01
_cell_angle_gamma 90.00
loop_
_symmetry_equiv_pos_as_xyz
'x,y,z'
'-x,-y,-z'
'-x,y+1/2,-z'
'x,-y+1/2,z'
loop_
_atom_site_label
_atom_site_fract_x
_atom_site_fract_y
_atom_site_fract_z
Sc1 0.032 0.250 0.243
Sc2 0.316 0.750 0.594
Sc3 0.328 0.250 0.912
Co1 0.068 0.250 0.590
Bi1 0.323 0.750 0.200
```

Results
* energy of formation from the pure elements: -0.452 eV per atom
* polymorph energy (0 for the lowest one): 0 meV per atom

Density functional theory data (PBE) for Sc8Co2Bi after structural relaxation.

The structure in CIF format:
```
data_Sc8Co2Bi
_chemical_formula_sum 'Sc16 Co4 Bi2'
_symmetry_space_group_name_H-M 'C 1 2/m 1'
_symmetry_Int_Tables_number 12
_cell_length_a 8.111
_cell_length_b 12.419
_cell_length_c 4.914
_cell_angle_alpha 90.00
_cell_angle_beta 103.40
_cell_angle_gamma 90.00
loop_
_symmetry_equiv_pos_as_xyz
'x,y,z'
'-x,-y,-z'
'-x,y,-z'
'x,-y,z'
'x+1/2,y+1/2,z'
'-x+1/2,-y+1/2,-z'
'-x+1/2,y+1/2,-z'
'x+1/2,-y+1/2,z'
loop_
_atom_site_label
_atom_site_fract_x
_atom_site_fract_y
_atom_site_fract_z
Sc1 0.000 0.247 0.000
Sc2 0.101 0.000 0.794
Sc3 0.205 0.368 0.576
Co1 0.000 0.191 0.500
Bi1 0.000 0.500 0.000
```

Results
* energy of formation from the pure elements: -0.234 eV per atom

Density functional theory data (PBE) for Sc2Co2Bi after structural relaxation.

The structure in CIF format:
```
data_Sc2Co2Bi
_chemical_formula_sum 'Sc4 Co4 Bi2'
_symmetry_space_group_name_H-M 'I 4/m m m'
_symmetry_Int_Tables_number 139
_symmetry_space_group_name_Hall '-I 4 2'
_cell_length_a 3.408
_cell_length_b 3.408
_cell_length_c 16.994
_cell_angle_alpha 90.00
_cell_angle_beta 90.00
_cell_angle_gamma 90.00
loop_
_atom_site_label
_atom_site_fract_x
_atom_site_fract_y
_atom_site_fract_z
Sc1 0.000 0.000 0.132
Co1 0.000 0.500 0.250
Bi1 0.000 0.000 0.500
```

Results
* energy of formation from the pure elements: -0.143 eV per atom
* polymorph energy (0 for the lowest one): 134 meV per atom

Density functional theory data (PBE) for Sc3CoBi after structural relaxation.

The structure in CIF format:
```
data_Sc3CoBi
_chemical_formula_sum 'Sc3 Co1 Bi1'
_symmetry_space_group_name_H-M 'P m -3 m'
_symmetry_Int_Tables_number 221
_symmetry_space_group_name_Hall '-P 4 2 3'
_cell_length_a 5.397
_cell_length_b 5.397
_cell_length_c 5.397
_cell_angle_alpha 90.00
_cell_angle_beta 90.00
_cell_angle_gamma 90.00
loop_
_atom_site_label
_atom_site_fract_x
_atom_site_fract_y
_atom_site_fract_z
Sc1 0.000 0.000 0.500
Co1 0.500 0.500 0.500
Bi1 0.000 0.000 0.000
```

Results
* energy of formation from the pure elements: 0.939 eV per atom
* polymorph energy (0 for the lowest one): 1391 meV per atom

Density functional theory data (PBE) for Sc4CoBi after structural relaxation.

The structure in CIF format:
```
data_Sc4CoBi
_chemical_formula_sum 'Sc16 Co4 Bi4'
_symmetry_space_group_name_H-M 'C 1 2/c 1'
_symmetry_Int_Tables_number 15
_cell_length_a 14.472
_cell_length_b 5.621
_cell_length_c 7.103
_cell_angle_alpha 90.00
_cell_angle_beta 108.16
_cell_angle_gamma 90.00
loop_
_symmetry_equiv_pos_as_xyz
'x,y,z'
'-x,-y,-z'
'-x,y,-z+1/2'
'x,-y,z+1/2'
'x+1/2,y+1/2,z'
'-x+1/2,-y+1/2,-z'
'-x+1/2,y+1/2,-z+1/2'
'x+1/2,-y+1/2,z+1/2'
loop_
_atom_site_label
_atom_site_fract_x
_atom_site_fract_y
_atom_site_fract_z
Sc1 0.087 0.123 0.452
Sc2 0.192 0.384 0.151
Co1 0.250 0.250 0.500
Bi1 0.000 0.368 0.750
```

Results
* energy of formation from the pure elements: -0.274 eV per atom
* polymorph energy (0 for the lowest one): 124 meV per atom

Density functional theory data (PBE) for ScCoBi3 after structural relaxation.

The structure in CIF format:
```
data_ScCoBi3
_chemical_formula_sum 'Sc1 Co1 Bi3'
_symmetry_space_group_name_H-M 'P m -3 m'
_symmetry_Int_Tables_number 221
_symmetry_space_group_name_Hall '-P 4 2 3'
_cell_length_a 5.537
_cell_length_b 5.537
_cell_length_c 5.537
_cell_angle_alpha 90.00
_cell_angle_beta 90.00
_cell_angle_gamma 90.00
loop_
_atom_site_label
_atom_site_fract_x
_atom_site_fract_y
_atom_site_fract_z
Sc1 0.000 0.000 0.000
Co1 0.500 0.500 0.500
Bi1 0.000 0.000 0.500
```

Results
* energy of formation from the pure elements: 0.837 eV per atom

Density functional theory data (PBE) for Sc6Co2Bi after structural relaxation.

The structure in CIF format:
```
data_Sc6Co2Bi
_chemical_formula_sum 'Sc24 Co8 Bi4'
_symmetry_space_group_name_H-M 'I m m m'
_symmetry_Int_Tables_number 71
_symmetry_space_group_name_Hall '-I 2 2'
_cell_length_a 8.894
_cell_length_b 9.024
_cell_length_c 9.343
_cell_angle_alpha 90.00
_cell_angle_beta 90.00
_cell_angle_gamma 90.00
loop_
_atom_site_label
_atom_site_fract_x
_atom_site_fract_y
_atom_site_fract_z
Sc1 0.000 0.221 0.236
Sc2 0.190 0.500 0.177
Sc3 0.214 0.313 0.500
Co1 0.000 0.348 0.000
Co2 0.000 0.500 0.380
Bi1 0.000 0.000 0.000
Bi2 0.000 0.000 0.500
```

Results
* energy of formation from the pure elements: -0.361 eV per atom

Density functional theory data (PBE) for Sc5CoBi2 after structural relaxation.

The structure in CIF format:
```
data_Sc5CoBi2
_chemical_formula_sum 'Sc10 Co2 Bi4'
_symmetry_space_group_name_H-M 'P b a m'
_symmetry_Int_Tables_number 55
_cell_length_a 7.460
_cell_length_b 11.623
_cell_length_c 4.265
_cell_angle_alpha 90.00
_cell_angle_beta 90.00
_cell_angle_gamma 90.00
loop_
_symmetry_equiv_pos_as_xyz
'x,y,z'
'-x,-y,-z'
'-x,-y,z'
'x,y,-z'
'x+1/2,-y+1/2,-z'
'-x+1/2,y+1/2,z'
'-x+1/2,y+1/2,-z'
'x+1/2,-y+1/2,z'
loop_
_atom_site_label
_atom_site_fract_x
_atom_site_fract_y
_atom_site_fract_z
Sc1 0.000 0.000 0.000
Sc2 0.132 0.314 0.000
Sc3 0.178 0.559 0.500
Co1 0.000 0.500 0.000
Bi1 0.068 0.824 0.500
```

Results
* energy of formation from the pure elements: -0.497 eV per atom
* polymorph energy (0 for the lowest one): 0 meV per atom

Density functional theory data (PBE) for Sc2CoBi2 after structural relaxation.

The structure in CIF format:
```
data_Sc2CoBi2
_chemical_formula_sum 'Sc4 Co2 Bi4'
_symmetry_space_group_name_H-M 'P 4/m b m'
_symmetry_Int_Tables_number 127
_symmetry_space_group_name_Hall '-P 4 2ab'
_cell_length_a 7.054
_cell_length_b 7.054
_cell_length_c 4.525
_cell_angle_alpha 90.00
_cell_angle_beta 90.00
_cell_angle_gamma 90.00
loop_
_atom_site_label
_atom_site_fract_x
_atom_site_fract_y
_atom_site_fract_z
Sc1 0.161 0.339 0.000
Co1 0.000 0.000 0.500
Bi1 0.157 0.657 0.500
```

Results
* energy of formation from the pure elements: -0.128 eV per atom

Density functional theory data (PBE) for Sc8CoBi2 after structural relaxation.

The structure in CIF format:
```
data_Sc8CoBi2
_chemical_formula_sum 'Sc16 Co2 Bi4'
_symmetry_space_group_name_H-M 'C 1 2/m 1'
_symmetry_Int_Tables_number 12
_cell_length_a 16.792
_cell_length_b 5.015
_cell_length_c 6.307
_cell_angle_alpha 90.00
_cell_angle_beta 108.64
_cell_angle_gamma 90.00
loop_
_symmetry_equiv_pos_as_xyz
'x,y,z'
'-x,-y,-z'
'-x,y,-z'
'x,-y,z'
'x+1/2,y+1/2,z'
'-x+1/2,-y+1/2,-z'
'-x+1/2,y+1/2,-z'
'x+1/2,-y+1/2,z'
loop_
_atom_site_label
_atom_site_fract_x
_atom_site_fract_y
_atom_site_fract_z
Sc1 0.009 0.000 0.235
Sc2 0.087 0.500 0.749
Sc3 0.134 0.500 0.296
Sc4 0.210 0.000 0.118
Co1 0.000 0.500 0.000
Bi1 0.172 0.000 0.617
```

Results
* energy of formation from the pure elements: -0.265 eV per atom

Density functional theory data (PBE) for Sc4CoBi after structural relaxation.

The structure in CIF format:
```
data_Sc4CoBi
_chemical_formula_sum 'Sc16 Co4 Bi4'
_symmetry_space_group_name_H-M 'C 1 2/c 1'
_symmetry_Int_Tables_number 15
_cell_length_a 8.397
_cell_length_b 12.515
_cell_length_c 5.597
_cell_angle_alpha 90.00
_cell_angle_beta 112.30
_cell_angle_gamma 90.00
loop_
_symmetry_equiv_pos_as_xyz
'x,y,z'
'-x,-y,-z'
'-x,y,-z+1/2'
'x,-y,z+1/2'
'x+1/2,y+1/2,z'
'-x+1/2,-y+1/2,-z'
'-x+1/2,y+1/2,-z+1/2'
'x+1/2,-y+1/2,z+1/2'
loop_
_atom_site_label
_atom_site_fract_x
_atom_site_fract_y
_atom_site_fract_z
Sc1 0.108 0.163 0.066
Sc2 0.229 0.427 0.357
Co1 0.000 0.000 0.250
Bi1 0.000 0.371 0.750
```

Results
* energy of formation from the pure elements: -0.398 eV per atom
* polymorph energy (0 for the lowest one): 0 meV per atom

Density functional theory data (PBE) for Sc2Co2Bi after structural relaxation.

The structure in CIF format:
```
data_Sc2Co2Bi
_chemical_formula_sum 'Sc4 Co4 Bi2'
_symmetry_space_group_name_H-M 'P 4/m b m'
_symmetry_Int_Tables_number 127
_symmetry_space_group_name_Hall '-P 4 2ab'
_cell_length_a 7.031
_cell_length_b 7.031
_cell_length_c 3.650
_cell_angle_alpha 90.00
_cell_angle_beta 90.00
_cell_angle_gamma 90.00
loop_
_atom_site_label
_atom_site_fract_x
_atom_site_fract_y
_atom_site_fract_z
Sc1 0.172 0.328 0.000
Co1 0.114 0.614 0.500
Bi1 0.000 0.000 0.500
```

Results
* energy of formation from the pure elements: -0.277 eV per atom
* polymorph energy (0 for the lowest one): 0 meV per atom

Density functional theory data (PBE) for Sc2CoBi after structural relaxation.

The structure in CIF format:
```
data_Sc2CoBi
_chemical_formula_sum 'Sc6 Co3 Bi3'
_symmetry_space_group_name_H-M 'R -3 m'
_symmetry_Int_Tables_number 166
_symmetry_space_group_name_Hall '-R 3 2"'
_cell_length_a 3.5550
_cell_length_b 3.5550
_cell_length_c 26.8547
_cell_angle_alpha 90.00
_cell_angle_beta 90.00
_cell_angle_gamma 120.00
loop_
_atom_site_label
_atom_site_fract_x
_atom_site_fract_y
_atom_site_fract_z
Sc1 0.0000 0.0000 0.1144
Co1 0.0000 0.0000 0.5000
Bi1 0.0000 0.0000 0.0000
```

Results
* energy of formation from the pure elements: -0.087 eV per atom

Density functional theory data (PBE) for Sc3CoBi after structural relaxation.

The structure in CIF format:
```
data_Sc3CoBi
_chemical_formula_sum 'Sc3 Co1 Bi1'
_symmetry_space_group_name_H-M 'P m -3 m'
_symmetry_Int_Tables_number 221
_symmetry_space_group_name_Hall '-P 4 2 3'
_cell_length_a 4.852
_cell_length_b 4.852
_cell_length_c 4.852
_cell_angle_alpha 90.00
_cell_angle_beta 90.00
_cell_angle_gamma 90.00
loop_
_atom_site_label
_atom_site_fract_x
_atom_site_fract_y
_atom_site_fract_z
Sc1 0.000 0.000 0.500
Co1 0.000 0.000 0.000
Bi1 0.500 0.500 0.500
```

Results
* energy of formation from the pure elements: -0.320 eV per atom
* polymorph energy (0 for the lowest one): 132 meV per atom

Density functional theory data (PBE) for Sc12CoBi6 after structural relaxation.

The structure in CIF format:
```
data_Sc12CoBi6
_chemical_formula_sum 'Sc36 Co3 Bi18'
_symmetry_space_group_name_H-M 'R -3'
_symmetry_Int_Tables_number 148
_symmetry_space_group_name_Hall '-R 3'
_cell_length_a 12.4680
_cell_length_b 12.4680
_cell_length_c 11.3321
_cell_angle_alpha 90.00
_cell_angle_beta 90.00
_cell_angle_gamma 120.00
loop_
_atom_site_label
_atom_site_fract_x
_atom_site_fract_y
_atom_site_fract_z
Sc1 0.0262 0.1748 0.3838
Sc2 0.0638 0.1815 0.8807
Co1 0.0000 0.0000 0.0000
Bi1 0.0413 0.2904 0.6387
```

Results
* energy of formation from the pure elements: -0.375 eV per atom

Density functional theory data (PBE) for ScCoSn2Bi after structural relaxation.

The structure in CIF format:
```
data_ScCoSn2Bi
_chemical_formula_sum 'Sc1 Co1 Sn2 Bi1'
_symmetry_space_group_name_H-M 'P 4/m m m'
_symmetry_Int_Tables_number 123
_symmetry_space_group_name_Hall '-P 4 2'
_cell_length_a 4.930
_cell_length_b 4.930
_cell_length_c 4.932
_cell_angle_alpha 90.00
_cell_angle_beta 90.00
_cell_angle_gamma 90.00
loop_
_atom_site_label
_atom_site_fract_x
_atom_site_fract_y
_atom_site_fract_z
Sc1 0.000 0.000 0.000
Co1 0.000 0.000 0.500
Sn1 0.000 0.500 0.500
Bi1 0.500 0.500 0.000
```

Results
* energy of formation from the pure elements: -0.157 eV per atom

Density functional theory data (PBE) for YSc2CoBi after structural relaxation.

The structure in CIF format:
```
data_YSc2CoBi
_chemical_formula_sum 'Y1 Sc2 Co1 Bi1'
_symmetry_space_group_name_H-M 'P 4/m m m'
_symmetry_Int_Tables_number 123
_symmetry_space_group_name_Hall '-P 4 2'
_cell_length_a 4.831
_cell_length_b 4.831
_cell_length_c 5.268
_cell_angle_alpha 90.00
_cell_angle_beta 90.00
_cell_angle_gamma 90.00
loop_
_atom_site_label
_atom_site_fract_x
_atom_site_fract_y
_atom_site_fract_z
Y1 0.000 0.000 0.000
Sc1 0.000 0.500 0.500
Co1 0.000 0.000 0.500
Bi1 0.500 0.500 0.000
```

Results
* energy of formation from the pure elements: -0.332 eV per atom

Density functional theory data (PBE) for Sc2ZnCoBi after structural relaxation.

The structure in CIF format:
```
data_Sc2ZnCoBi
_chemical_formula_sum 'Sc2 Zn1 Co1 Bi1'
_symmetry_space_group_name_H-M 'P 4/m m m'
_symmetry_Int_Tables_number 123
_symmetry_space_group_name_Hall '-P 4 2'
_cell_length_a 5.440
_cell_length_b 5.440
_cell_length_c 4.985
_cell_angle_alpha 90.00
_cell_angle_beta 90.00
_cell_angle_gamma 90.00
loop_
_atom_site_label
_atom_site_fract_x
_atom_site_fract_y
_atom_site_fract_z
Sc1 0.000 0.500 0.000
Zn1 0.000 0.000 0.500
Co1 0.500 0.500 0.500
Bi1 0.000 0.000 0.000
```

Results
* energy of formation from the pure elements: 1.131 eV per atom

Density functional theory data (PBE) for CoBi2Se after structural relaxation.

The structure in CIF format:
```
data_CoBi2Se
_chemical_formula_sum 'Co4 Bi8 Se4'
_symmetry_space_group_name_H-M 'F m -3 m'
_symmetry_Int_Tables_number 225
_symmetry_space_group_name_Hall '-F 4 2 3'
_cell_length_a 7.170
_cell_length_b 7.170
_cell_length_c 7.170
_cell_angle_alpha 90.00
_cell_angle_beta 90.00
_cell_angle_gamma 90.00
loop_
_atom_site_label
_atom_site_fract_x
_atom_site_fract_y
_atom_site_fract_z
Co1 0.000 0.000 0.000
Bi1 0.250 0.250 0.250
Se1 0.000 0.000 0.500
```

Results
* polymorph energy (0 for the lowest one): 273 meV per atom

Density functional theory data (PBE) for Co2BiSe after structural relaxation.

The structure in CIF format:
```
data_Co2BiSe
_chemical_formula_sum 'Co8 Bi4 Se4'
_symmetry_space_group_name_H-M 'F m -3 m'
_symmetry_Int_Tables_number 225
_symmetry_space_group_name_Hall '-F 4 2 3'
_cell_length_a 6.440
_cell_length_b 6.440
_cell_length_c 6.440
_cell_angle_alpha 90.00
_cell_angle_beta 90.00
_cell_angle_gamma 90.00
loop_
_atom_site_label
_atom_site_fract_x
_atom_site_fract_y
_atom_site_fract_z
Co1 0.250 0.250 0.250
Bi1 0.000 0.000 0.000
Se1 0.000 0.000 0.500
```

Results
* polymorph energy (0 for the lowest one): 229 meV per atom

Theoretical density, respectively: 6.09 4.73 7.01 4.25 5.42 7.15 5.28 6.30 8.36 5.52 5.46 7.67 6.06 5.85 6.05 7.62 6.04 4.76 10.01 10.09 g/cm3.
Uncorrected energy, respectively: -0.4739 -0.4766 -0.4626 -0.3717 -0.4650 -0.3071 -0.4846 -0.4640 -0.4141 -0.4573 -0.4741 -0.4725 -0.4409 -0.4642 -0.4390 -0.3838 -0.4671 -0.2833 -0.2981 -0.3639 Ry/atom.